a) The following is a DFT calculation (PBE) of a relaxed structure of NiPd3S.

```
10
Lattice="-3.594 3.778 2.809 3.594 -3.778 2.809 3.594 3.778 -2.809" Properties=species:S:1:pos:R:3 pbc="T T T"
Ni 0.000 1.889 0.131
Ni 3.594 1.889 2.678
Pd 1.797 3.375 -1.404
Pd 1.797 -0.402 1.404
Pd 3.594 1.889 -0.012
Pd 0.000 1.889 2.821
Pd -1.797 4.180 1.404
Pd 1.797 4.180 1.404
S -1.797 1.889 1.404
S 1.797 1.889 1.404
```

Summary:
crystal system = orthorhombic
total moment = 0.00 Bohr magnetons per cell
volume = 76 Å³/f.u.

***

b) The following is a DFT calculation (PBE) of a relaxed structure of NiPd3S.

```
5
Lattice="4.451 0.000 0.000 0.000 4.451 0.000 0.000 0.000 4.451" Properties=species:S:1:pos:R:3 pbc="T T T"
Ni 0.000 0.000 0.000
Pd 0.000 2.226 2.226
Pd 2.226 0.000 2.226
Pd 2.226 2.226 0.000
S 2.226 2.226 2.226
```

Summary:
crystal system = cubic
total moment = 1.05 Bohr magnetons per cell
volume = 88 Å³/f.u.

***

Most stable structure - a); separation to the second - 330 meV per atom.

***

a) The following is a DFT calculation (PBE) of a relaxed structure of Ni3PdS.

```
5
Lattice="4.109 0.000 0.000 0.000 4.109 0.000 0.000 0.000 4.109" Properties=species:S:1:pos:R:3 pbc="T T T"
Ni 0.000 0.000 2.055
Ni 0.000 2.055 0.000
Ni 2.055 0.000 0.000
Pd 2.055 2.055 2.055
S 0.000 0.000 0.000
```

Summary:
crystal system = cubic
total moment = 0.83 Bohr magnetons per cell
volume = 69 Å³/f.u.

***

b) The following is a DFT calculation (PBE) of a relaxed structure of Ni3PdS.

```
5
Lattice="4.561 0.000 0.000 0.000 4.561 0.000 0.000 0.000 4.561" Properties=species:S:1:pos:R:3 pbc="T T T"
Ni 0.000 0.000 2.280
Ni 0.000 2.280 0.000
Ni 2.280 0.000 0.000
Pd 0.000 0.000 0.000
S 2.280 2.280 2.280
```

Summary:
crystal system = cubic
total moment = 3.80 Bohr magnetons per cell
volume = 95 Å³/f.u.

***

Most stable structure - a); separation to the second - 1281 meV per atom.

***

a) The following is a DFT calculation (PBE) of a relaxed structure of Ni2Sb2Pd.

```
5
Lattice="-1.720 1.720 7.468 1.720 -1.720 7.468 1.720 1.720 -7.468" Properties=species:S:1:pos:R:3 pbc="T T T"
Ni 1.720 0.000 3.734
Ni 0.000 1.720 3.734
Sb 0.000 0.000 1.762
Sb 0.000 0.000 13.175
Pd 0.000 0.000 7.468
```

Summary:
crystal system = tetragonal
total moment = 0.00 Bohr magnetons per cell
volume = 88 Å³/f.u.

***

b) The following is a DFT calculation (PBE) of a relaxed structure of Ni2Sb2Pd.

```
10
Lattice="7.348 0.000 0.000 0.000 7.348 0.000 0.000 0.000 3.176" Properties=species:S:1:pos:R:3 pbc="T T T"
Ni 0.931 2.744 0.000
Ni 2.744 6.418 0.000
Ni 4.605 0.931 0.000
Ni 6.418 4.605 0.000
Sb 1.230 4.904 1.588
Sb 2.444 1.230 1.588
Sb 4.904 6.118 1.588
Sb 6.118 2.444 1.588
Pd 0.000 0.000 1.588
Pd 3.674 3.674 1.588
```

Summary:
crystal system = tetragonal
total moment = 0.00 Bohr magnetons per cell
volume = 86 Å³/f.u.

***

c) The following is a DFT calculation (PBE) of a relaxed structure of Ni2Sb2Pd.

```
10
Lattice="6.974 0.000 0.000 0.000 6.974 0.000 0.000 0.000 3.414" Properties=species:S:1:pos:R:3 pbc="T T T"
Ni 0.884 2.603 0.000
Ni 2.603 6.090 0.000
Ni 4.372 0.884 0.000
Ni 6.090 4.372 0.000
Sb 1.209 4.696 1.707
Sb 2.278 1.209 1.707
Sb 4.696 5.765 1.707
Sb 5.765 2.278 1.707
Pd 0.000 0.000 0.000
Pd 3.487 3.487 0.000
```

Summary:
crystal system = tetragonal
total moment = 0.00 Bohr magnetons per cell
volume = 83 Å³/f.u.

***

Most stable structure - c); separation to the second - 94 meV per atom.

***

a) The following is a DFT calculation (PBE) of a relaxed structure of Ni2Sb8Pd.

```
11
Lattice="4.580 0.000 0.000 2.278 7.922 0.000 0.006 3.453 8.145" Properties=species:S:1:pos:R:3 pbc="T T T"
Ni 1.137 2.195 1.488
Ni 5.726 9.179 6.657
Sb 1.143 4.358 2.957
Sb 1.151 4.929 7.228
Sb 3.423 7.728 2.252
Sb 3.435 8.346 7.050
Sb 3.428 3.029 1.094
Sb 3.440 3.647 5.893
Sb 5.712 6.446 0.917
Sb 5.720 7.016 5.188
Pd 3.432 5.687 4.072
```

Summary:
crystal system = triclinic
total moment = 0.00 Bohr magnetons per cell
volume = 295 Å³/f.u.

***

b) The following is a DFT calculation (PBE) of a relaxed structure of Ni2Sb8Pd.

```
11
Lattice="6.968 -4.033 0.000 6.968 4.033 0.000 -0.068 0.000 4.916" Properties=species:S:1:pos:R:3 pbc="T T T"
Ni 2.461 0.000 1.195
Ni 11.406 0.000 3.722
Sb 2.371 0.000 3.645
Sb 5.766 1.870 3.578
Sb 8.101 1.870 1.338
Sb 4.953 0.000 0.929
Sb 8.914 0.000 3.988
Sb 5.766 -1.870 3.578
Sb 8.101 -1.870 1.338
Sb 11.496 0.000 1.271
Pd 0.000 0.000 0.000
```

Summary:
crystal system = monoclinic
total moment = 0.00 Bohr magnetons per cell
volume = 276 Å³/f.u.

***

Most stable structure - a); separation to the second - 44 meV per atom.